1.
Crystalline BeTeSe at its relaxed geometry. Source: the Alexandria database, functional GGA-PBEsol.

DOS at the Fermi energy in states/eV/cell: 0.9
Uncorrected energy in eV/atom: -3.9302
M_tot in μB per atom: 0.0000
Polymorph energy (0 for the lowest one) in meV/atom: 0.0
Raw formation energy in eV per atom: -0.14

a b c (Å): 7.7821 7.7821 7.7821
angles (deg): 157.00 157.00 32.75
Closest atoms and distances in Å follow each position.
Sites, in units of the cell vectors:
Be: 0.0000 0.0000 0.0000  4 Se 2.36, 1 Te 2.44
Te: 0.1637 0.1637 0.0000  1 Be 2.44
Se: 0.4412 0.4412 0.0000  4 Be 2.36

***

2.
Crystalline PmGePd2 at its relaxed geometry. Source: the Alexandria database, functional GGA-PBEsol.

DOS at the Fermi energy in states/eV/cell: 2.4
Uncorrected energy in eV/atom: -6.1630
M_tot in μB per atom: 0.0000
Energy of formation in eV/atom: -0.665

a b c (Å): 4.6851 4.6851 4.6851
angles (deg): 60.00 60.00 60.00
Closest atoms and distances in Å follow each position.
Sites, in units of the cell vectors:
Pm: 0.0000 0.0000 0.0000  8 Pd 2.87
Ge: 0.5000 0.5000 0.5000  8 Pd 2.87
Pd: 0.2500 0.2500 0.2500  4 Ge 2.87, 4 Pm 2.87
Pd: 0.7500 0.7500 0.7500  4 Pm 2.87, 4 Ge 2.87

***

3.
Crystalline CsNbMo2Br at its relaxed geometry. Source: the Alexandria database, functional GGA-PBEsol.

DOS at the Fermi energy in states/eV/cell: 6.9
Uncorrected energy in eV/atom: -5.4803
M_tot in μB per atom: 0.0006
Raw formation energy in eV per atom: 1.95

a b c (Å): 4.7490 4.7490 4.9285
angles (deg): 90.00 90.00 90.00
Closest atoms and distances in Å follow each position.
Sites, in units of the cell vectors:
Cs: 0.0000 0.0000 0.0000  4 Nb 3.36, 8 Mo 3.42
Nb: 0.5000 0.5000 0.0000  2 Br 2.46
Mo: 0.0000 0.5000 0.5000  2 Br 2.37
Mo: 0.5000 0.0000 0.5000  2 Br 2.37
Br: 0.5000 0.5000 0.5000  4 Mo 2.37, 2 Nb 2.46

***

4.
Crystalline LiFe2Se at its relaxed geometry. Source: the Alexandria database, functional GGA-PBEsol.

DOS at the Fermi energy in states/eV/cell: 1.9
Uncorrected energy in eV/atom: -5.9228
M_tot in μB per atom: 1.2957
Raw formation energy in eV per atom: 0.01

a b c (Å): 3.0280 5.5209 5.5209
angles (deg): 37.15 90.00 90.00
Closest atoms and distances in Å follow each position.
Sites, in units of the cell vectors:
Li: 0.0000 0.0000 0.0000  4 Se 2.47, 1 Fe 2.59
Fe: 0.0000 0.2477 0.2477  2 Se 2.35, 4 Fe 2.52, 1 Li 2.59
Fe: 0.5000 0.6549 0.6549  1 Se 2.47, 4 Fe 2.52
Se: 0.5000 0.4189 0.4189  3 Fe 2.35-2.47, 4 Li 2.47

***

5.
Crystalline LaAg2Au2 at its relaxed geometry. Source: the Alexandria database, functional GGA-PBEsol.

DOS at the Fermi energy in states/eV/cell: 1.9
Uncorrected energy in eV/atom: -4.3792
M_tot in μB per atom: 0.0000
Polymorph energy (0 for the lowest one) in meV/atom: 0.0
Energy of formation in eV/atom: -0.416

a b c (Å): 7.1849 7.1849 7.1849
angles (deg): 147.62 147.62 46.44
Closest atoms and distances in Å follow each position.
Sites, in units of the cell vectors:
La: 0.0000 0.0000 0.0000  8 Au 3.14
Ag: 0.2500 0.7500 0.5000  4 Au 2.79, 4 Ag 2.83
Ag: 0.7500 0.2500 0.5000  4 Au 2.79, 4 Ag 2.83
Au: 0.3968 0.3968 0.0000  1 Au 2.72, 4 Ag 2.79
Au: 0.6032 0.6032 0.0000  1 Au 2.72, 4 Ag 2.79

***

6.
Crystalline InHg3Pt at its relaxed geometry. Source: the Alexandria database, functional GGA-PBEsol.

DOS at the Fermi energy in states/eV/cell: 1.8
Uncorrected energy in eV/atom: -2.2136
M_tot in μB per atom: 0.0000
Energy of formation in eV/atom: 0.116

a b c (Å): 5.1883 5.1883 5.1883
angles (deg): 90.00 90.00 90.00
Closest atoms and distances in Å follow each position.
Sites, in units of the cell vectors:
In: 0.0000 0.0000 0.0000  12 Hg 3.67
Hg: 0.0000 0.5000 0.5000  2 Pt 2.59
Hg: 0.5000 0.0000 0.5000  2 Pt 2.59
Hg: 0.5000 0.5000 0.0000  2 Pt 2.59
Pt: 0.5000 0.5000 0.5000  6 Hg 2.59